A plane-wave DFT calculation with GGA+U was carried out for a relaxed FeSbO4 crystal.

DOS at the Fermi energy: 0.000 states/eV per atom
Calculated total energy: -6.35 eV per atom
Size of the total moment: 10.0 Bohr magnetons per cell

Unit cell a=3.9421 b=3.9421 c=10.0030 alpha=90.00 beta=90.00 gamma=90.00
Space group I-4m2 (No. 119)
One atom of each set of equivalent atoms:
Fe: 0.0000 0.0000 0.0000 (multiplicity 2)
Sb: 0.0000 0.5000 0.2500 (multiplicity 2)
O: 0.0000 0.0000 0.2081 (multiplicity 4)
O: 0.0000 0.5000 0.0523 (multiplicity 4)